# CePr3Th4Se8

A relaxed CePr3Th4Se8 crystal (GGA-PBE, Alexandria).

a = 8.3880 Å, b = 8.5078 Å, c = 8.3864 Å
α = 119.51°, β = 120.01°, γ = 90.00°
Fractional coordinates of all 16 atoms:
Th1 0.0000 0.0000 0.0000
Se1 0.2483 0.2499 0.9991
Se2 0.2492 0.7501 0.0009
Se3 0.7505 0.7516 0.5011
Pr1 0.5000 0.5000 0.0000
Se4 0.7507 0.2498 0.5015
Pr2 0.0000 0.5000 0.5000
Th2 0.5000 0.0000 0.0000
Se5 0.2495 0.2484 0.4989
Se6 0.2493 0.7502 0.4985
Ce1 0.0000 0.5000 0.0000
Th3 0.5000 0.0000 0.5000
Se7 0.7517 0.7501 0.0009
Th4 0.0000 0.0000 0.5000
Pr3 0.5000 0.5000 0.5000
Se8 0.7508 0.2499 0.9991

Output
E_tot: -104.82 eV/cell
formation energy (no corrections): -1.687 eV/atom
space group: No. 166
total magnetic moment: 0.9 μB/cell
D(E_F): 0.73 states/eV per atom